(1)
Computed, not measured: a relaxed Dy8Sb2Os crystal at the PBE level of DFT.

space-group type: C2/m, No. 12
formation energy (no corrections): -435.2 meV/atom

Lattice parameters (Å, degrees): 9.9483 9.9483 6.6860 105.02 105.02 28.78
Sites, in units of the cell vectors:
Dy  0.0201  0.0201  0.2888
Dy  0.2195  0.2195  0.8255
Dy  0.3543  0.3543  0.4936
Dy  0.4105  0.4105  0.0421
Dy  0.5895  0.5895  0.9579
Dy  0.6457  0.6457  0.5064
Dy  0.7805  0.7805  0.1745
Dy  0.9799  0.9799  0.7112
Sb  0.1808  0.1808  0.2566
Sb  0.8192  0.8192  0.7434
Os  0.5000  0.5000  0.5000

(2)
Computed, not measured: a relaxed MgWCl2 crystal at the PBE level of DFT.

energy above the most stable polymorph in this dataset: 0.780 eV/atom
space-group type: I-4m2, No. 119
formation energy (no corrections): 579.6 meV/atom

Lattice parameters (Å, degrees): 6.4095 6.4095 6.4095 146.80 146.80 47.66
Sites, in units of the cell vectors:
Mg  0.0000  0.0000  0.0000
W  0.2500  0.7500  0.5000
Cl  0.5000  0.5000  0.0000
Cl  0.7500  0.2500  0.5000

(3)
Computed, not measured: a relaxed In2SiHg crystal at the PBE level of DFT.

space-group type: Cmmm, No. 65
formation energy (no corrections): 240.4 meV/atom

Lattice parameters (Å, degrees): 3.2601 3.2601 9.0899 90.00 90.00 99.11
Sites, in units of the cell vectors:
In  0.0000  0.0000  0.2236
In  0.0000  0.0000  0.7764
Si  0.5000  0.5000  0.0000
Hg  0.5000  0.5000  0.5000

In μB/atom, the M_tot values for the records above are, in order, 0.00 0.68 0.00.
In eV/cell, the VASP energy values for the records above are, in order, -61.08 -15.92 -10.24.